Record 1
## Cu2RuSe (PBE)

Data for Cu2RuSe after structural relaxation.

**Space group**: F-43m (216)
**Formation energy (no corrections)**: 0.353 eV/atom
**Total magnetic moment**: 0.000 μB/atom

Cell: 6.073 6.073 6.073 Å, 90.00 90.00 90.00°
Fractional coordinates of all 16 atoms:
Cu (0.000, 0.000, 0.000)
Cu (0.000, 0.500, 0.500)
Cu (0.250, 0.250, 0.250)
Cu (0.250, 0.750, 0.750)
Cu (0.500, 0.000, 0.500)
Cu (0.500, 0.500, 0.000)
Cu (0.750, 0.250, 0.750)
Cu (0.750, 0.750, 0.250)
Ru (0.250, 0.250, 0.750)
Ru (0.250, 0.750, 0.250)
Ru (0.750, 0.250, 0.250)
Ru (0.750, 0.750, 0.750)
Se (0.000, 0.000, 0.500)
Se (0.000, 0.500, 0.000)
Se (0.500, 0.000, 0.000)
Se (0.500, 0.500, 0.500)

=====

Record 2
## Na12In6Pd (PBE)

Data for Na12In6Pd after structural relaxation.

**Space group**: R-3 (148)
**Energy relative to the elements**: -0.127 eV/atom
**Total magnetic moment**: 0.000 μB/atom

Cell: 8.136 8.136 8.136 Å, 87.09 87.09 87.09°
Fractional coordinates of all 19 atoms:
Na (0.021, 0.310, 0.925)
Na (0.075, 0.979, 0.690)
Na (0.126, 0.355, 0.464)
Na (0.310, 0.925, 0.021)
Na (0.355, 0.464, 0.126)
Na (0.464, 0.126, 0.355)
Na (0.536, 0.874, 0.645)
Na (0.645, 0.536, 0.874)
Na (0.690, 0.075, 0.979)
Na (0.874, 0.645, 0.536)
Na (0.925, 0.021, 0.310)
Na (0.979, 0.690, 0.075)
In (0.250, 0.744, 0.391)
In (0.256, 0.609, 0.750)
In (0.391, 0.250, 0.744)
In (0.609, 0.750, 0.256)
In (0.744, 0.391, 0.250)
In (0.750, 0.256, 0.609)
Pd (0.500, 0.500, 0.500)

=====

Record 3
## CaPmCdPb (PBE)

Data for CaPmCdPb after structural relaxation.

**Space group**: F-43m (216)
**Energy relative to the elements**: -0.434 eV/atom
**Total magnetic moment**: 0.000 μB/atom

Cell: 7.752 7.752 7.752 Å, 90.00 90.00 90.00°
Fractional coordinates of all 16 atoms:
Ca (0.000, 0.000, 0.000)
Ca (0.000, 0.500, 0.500)
Ca (0.500, 0.000, 0.500)
Ca (0.500, 0.500, 0.000)
Pm (0.000, 0.000, 0.500)
Pm (0.000, 0.500, 0.000)
Pm (0.500, 0.000, 0.000)
Pm (0.500, 0.500, 0.500)
Cd (0.250, 0.250, 0.750)
Cd (0.250, 0.750, 0.250)
Cd (0.750, 0.250, 0.250)
Cd (0.750, 0.750, 0.750)
Pb (0.250, 0.250, 0.250)
Pb (0.250, 0.750, 0.750)
Pb (0.750, 0.250, 0.750)
Pb (0.750, 0.750, 0.250)

=====

Record 4
## K5Ge2Se5 (PBE)

Data for K5Ge2Se5 after structural relaxation.

**Space group**: C2/m (12)
**Formation energy (no corrections)**: -0.848 eV/atom
**Total magnetic moment**: 0.000 μB/atom

Cell: 7.536 7.536 12.060 Å, 105.88 105.88 36.22°
Fractional coordinates of all 12 atoms:
K (0.000, 0.000, 0.000)
K (0.159, 0.159, 0.567)
K (0.262, 0.262, 0.865)
K (0.738, 0.738, 0.135)
K (0.841, 0.841, 0.433)
Ge (0.454, 0.454, 0.699)
Ge (0.546, 0.546, 0.301)
Se (0.138, 0.138, 0.286)
Se (0.399, 0.399, 0.134)
Se (0.500, 0.500, 0.500)
Se (0.601, 0.601, 0.866)
Se (0.862, 0.862, 0.714)

=====

Record 5
## BaTc2W (PBE)

Data for BaTc2W after structural relaxation.

**Space group**: R-3m (166)
**Energy relative to the elements**: 0.843 eV/atom
**Total magnetic moment**: 0.000 μB/atom

Cell: 3.147 3.147 28.486 Å, 90.00 90.00 120.00°
Fractional coordinates of all 12 atoms:
Ba (0.000, 0.000, 0.000)
Ba (0.333, 0.667, 0.667)
Ba (0.667, 0.333, 0.333)
Tc (0.000, 0.000, 0.231)
Tc (0.000, 0.000, 0.769)
Tc (0.333, 0.667, 0.435)
Tc (0.333, 0.667, 0.898)
Tc (0.667, 0.333, 0.102)
Tc (0.667, 0.333, 0.565)
W (0.000, 0.000, 0.500)
W (0.333, 0.667, 0.167)
W (0.667, 0.333, 0.833)

=====

Record 6
## InSiAg (PBE)

Data for InSiAg after structural relaxation.

**Space group**: Pnma (62)
**Formation energy (no corrections)**: 0.229 eV/atom
**Total magnetic moment**: 0.000 μB/atom

Cell: 7.434 4.565 7.198 Å, 90.00 90.00 90.00°
Fractional coordinates of all 12 atoms:
In (0.032, 0.250, 0.173)
In (0.468, 0.750, 0.673)
In (0.532, 0.250, 0.327)
In (0.968, 0.750, 0.827)
Si (0.245, 0.750, 0.079)
Si (0.255, 0.250, 0.579)
Si (0.745, 0.750, 0.421)
Si (0.755, 0.250, 0.921)
Ag (0.110, 0.750, 0.426)
Ag (0.390, 0.250, 0.926)
Ag (0.610, 0.750, 0.074)
Ag (0.890, 0.250, 0.574)

=====

Record 7
## BaY2Pb2 (PBE)

Data for BaY2Pb2 after structural relaxation.

**Space group**: P4/mbm (127)
**Energy relative to the elements**: -0.427 eV/atom
**Total magnetic moment**: 0.000 μB/atom

Cell: 9.449 9.449 3.716 Å, 90.00 90.00 90.00°
Fractional coordinates of all 10 atoms:
Ba (0.000, 0.000, 0.000)
Ba (0.500, 0.500, 0.000)
Y (0.138, 0.362, 0.500)
Y (0.362, 0.862, 0.500)
Y (0.638, 0.138, 0.500)
Y (0.862, 0.638, 0.500)
Pb (0.158, 0.658, 0.000)
Pb (0.342, 0.158, 0.000)
Pb (0.658, 0.842, 0.000)
Pb (0.842, 0.342, 0.000)

=====

Record 8
## Ba2LiCa (PBE)

Data for Ba2LiCa after structural relaxation.

**Space group**: P4mm (99)
**Energy relative to the elements**: 0.031 eV/atom
**Total magnetic moment**: 0.000 μB/atom

Cell: 4.307 4.307 10.253 Å, 90.00 90.00 90.00°
Fractional coordinates of all 4 atoms:
Ba (0.000, 0.000, 0.000)
Ba (0.500, 0.500, 0.330)
Li (0.500, 0.500, 0.773)
Ca (0.000, 0.000, 0.612)

=====

> Number 8 is which compound?

Ba2LiCa